Record 1
# La2HoMg9 | the Alexandria database | GGA-PBE | relaxed
data_La2HoMg9
_cell_length_a 6.1059
_cell_length_b 6.1059
_cell_length_c 29.7345
_cell_angle_alpha 90.00
_cell_angle_beta 90.00
_cell_angle_gamma 120.00
_symmetry_space_group_name_H-M 'R -3 m'
_symmetry_Int_Tables_number 166
_symmetry_space_group_name_Hall '-R 3 2"'
loop_
_atom_site_label
_atom_site_fract_x
_atom_site_fract_y
_atom_site_fract_z
La1 0.0000 0.0000 0.1419
Ho1 0.0000 0.0000 0.0000
Mg1 0.0000 0.0000 0.3339
Mg2 0.0000 0.0000 0.5000
Mg3 0.0027 0.5014 0.9181
# * E_tot: -2.4474 eV per atom
# * volume: 26.67 Å³/atom
# * energy of formation: -56 kJ/mol of formula units

Record 2
# La2HoMg3 | the Alexandria database | GGA-PBE | relaxed
data_La2HoMg3
_cell_length_a 3.888
_cell_length_b 3.888
_cell_length_c 11.774
_cell_angle_alpha 90.00
_cell_angle_beta 90.00
_cell_angle_gamma 90.00
_symmetry_space_group_name_H-M 'P 4/m m m'
_symmetry_Int_Tables_number 123
_symmetry_space_group_name_Hall '-P 4 2'
loop_
_atom_site_label
_atom_site_fract_x
_atom_site_fract_y
_atom_site_fract_z
La1 0.000 0.000 0.173
Ho1 0.000 0.000 0.500
Mg1 0.500 0.500 0.000
Mg2 0.500 0.500 0.347
# * E_tot: -3.2990 eV per atom
# * volume: 29.67 Å³/atom
# * energy of formation: -56 kJ/mol of formula units

DOS at the Fermi energy, record by record: 33.226 7.136 states/eV/cell